DFT (GGA-PBE) results for crystalline LiBSCl2 at its relaxed geometry.

```
LiBSCl2
1.0
4.817 0.000 0.000
0.000 4.817 0.000
0.000 0.000 4.595
Li B S Cl
1 1 1 2
Direct
0.000 0.000 0.000
0.500 0.500 0.500
0.000 0.000 0.500
0.000 0.500 0.000
0.500 0.000 0.000
```

Properties
Final energy ... -12.76 eV per formula unit
Formation energy from raw total energies ... 0.731 eV per atom
Space-group type ... P4/mmm, No. 123

DFT (GGA-PBE) results for crystalline LiBS2Cl at its relaxed geometry.

```
LiBS2Cl
1.0
4.109 0.000 0.000
0.000 4.109 0.000
0.000 0.000 6.829
Li B S Cl
1 1 2 1
Direct
0.000 0.000 0.000
0.500 0.500 0.500
0.000 0.500 0.000
0.500 0.000 0.000
0.000 0.000 0.500
```

Properties
Final energy ... -13.44 eV per formula unit
Formation energy from raw total energies ... 1.052 eV per atom
Space-group type ... P4/mmm, No. 123

DFT (GGA-PBE) results for crystalline LiScBCl2 at its relaxed geometry.

```
LiScBCl2
1.0
4.962 0.000 0.000
0.000 4.962 0.000
0.000 0.000 4.517
Li Sc B Cl
1 1 1 2
Direct
0.000 0.000 0.000
0.500 0.500 0.000
0.500 0.500 0.500
0.000 0.500 0.500
0.500 0.000 0.500
```

Properties
Final energy ... -17.50 eV per formula unit
Formation energy from raw total energies ... 0.223 eV per atom
Space-group type ... P4/mmm, No. 123

DFT (GGA-PBE) results for crystalline Li2TlBCl at its relaxed geometry.

```
Li2TlBCl
1.0
4.340 0.000 0.000
0.000 4.340 0.000
0.000 0.000 6.138
Li Tl B Cl
2 1 1 1
Direct
0.000 0.500 0.000
0.500 0.000 0.000
0.000 0.000 0.500
0.500 0.500 0.500
0.000 0.000 0.000
```

Properties
Final energy ... -13.16 eV per formula unit
Formation energy from raw total energies ... 0.312 eV per atom
Space-group type ... P4/mmm, No. 123

DFT (GGA-PBE) results for crystalline LiTlB2Cl8 at its relaxed geometry.

```
LiTlB2Cl8
1.0
3.028 1.748 9.147
-3.028 1.748 9.147
0.000 -3.496 9.147
Li Tl B Cl
1 1 2 8
Direct
0.000 0.000 0.000
0.500 0.500 0.500
0.253 0.253 0.253
0.747 0.747 0.747
0.018 0.726 0.433
0.185 0.185 0.185
0.274 0.567 0.982
0.433 0.018 0.726
0.567 0.982 0.274
0.726 0.433 0.018
0.815 0.815 0.815
0.982 0.274 0.567
```

Properties
Final energy ... -45.49 eV per formula unit
Formation energy from raw total energies ... -1.090 eV per atom
Space-group type ... R-3, No. 148

DFT (GGA-PBE) results for crystalline LiVB2Cl at its relaxed geometry.

```
LiVB2Cl
1.0
4.082 0.000 0.000
0.000 4.082 0.000
0.000 0.000 4.163
Li V B Cl
1 1 2 1
Direct
0.000 0.000 0.000
0.500 0.500 0.000
0.000 0.500 0.500
0.500 0.000 0.500
0.500 0.500 0.500
```

Properties
Final energy ... -17.41 eV per formula unit
Formation energy from raw total energies ... 1.766 eV per atom
Space-group type ... P4/mmm, No. 123

DFT (GGA-PBE) results for crystalline Mg2BCl at its relaxed geometry.

```
Mg2BCl
1.0
0.000 3.252 3.252
3.252 0.000 3.252
3.252 3.252 0.000
Mg B Cl
2 1 1
Direct
0.250 0.250 0.250
0.750 0.750 0.750
0.000 0.000 0.000
0.500 0.500 0.500
```

Properties
Final energy ... -9.85 eV per formula unit
Formation energy from raw total energies ... 0.465 eV per atom
Space-group type ... Fm-3m, No. 225

DFT (GGA-PBE) results for crystalline Mg2BCl at its relaxed geometry.

```
Mg2BCl
1.0
-3.058 3.058 4.609
3.058 -3.058 4.609
3.058 3.058 -4.609
Mg B Cl
4 2 2
Direct
0.081 0.625 0.956
0.375 0.331 0.456
0.669 0.125 0.044
0.875 0.919 0.544
0.000 0.000 0.000
0.750 0.250 0.500
0.250 0.750 0.500
0.500 0.500 0.000
```

Properties
Final energy ... -11.45 eV per formula unit
Formation energy from raw total energies ... 0.065 eV per atom
Space-group type ... I-42d, No. 122